a) First-principles (PBE) data for an optimized crystal structure of NaZn2Ag3, as listed in Alexandria.

Cell lengths 6.818, 6.818, 5.394 Å; angles 90.00, 90.00, 83.18 degrees
Fractional coordinates of all 12 atoms:
Na1 0.175 0.825 0.750
Na2 0.825 0.175 0.250
Zn1 0.268 0.268 0.000
Zn2 0.268 0.268 0.500
Zn3 0.732 0.732 0.000
Zn4 0.732 0.732 0.500
Ag1 0.043 0.569 0.250
Ag2 0.431 0.957 0.250
Ag3 0.457 0.543 0.250
Ag4 0.543 0.457 0.750
Ag5 0.569 0.043 0.750
Ag6 0.957 0.431 0.750

- Space group: Cmcm, No. 63
- N(E_F): 2.864 states/eV per cell

=====

b) First-principles (PBE) data for an optimized crystal structure of NaZn2Ag3, as listed in Alexandria.

Cell lengths 5.755, 5.755, 4.217 Å; angles 90.00, 90.00, 120.00 degrees
Fractional coordinates of all 6 atoms:
Na1 0.000 0.000 0.000
Zn1 0.333 0.667 0.000
Zn2 0.667 0.333 0.000
Ag1 0.000 0.500 0.500
Ag2 0.500 0.000 0.500
Ag3 0.500 0.500 0.500

- Space group: P6/mmm, No. 191
- N(E_F): 2.111 states/eV per cell

=====

Top of the stability list: b), leading by 0.020 eV/atom.

=====

a) First-principles (PBE) data for an optimized crystal structure of NaZn2Ag6, as listed in Alexandria.

Cell lengths 4.951, 4.951, 9.669 Å; angles 90.00, 90.00, 120.00 degrees
Fractional coordinates of all 9 atoms:
Na1 0.000 0.000 0.000
Zn1 0.333 0.667 0.500
Zn2 0.667 0.333 0.500
Ag1 0.000 0.331 0.724
Ag2 0.000 0.669 0.276
Ag3 0.331 0.000 0.724
Ag4 0.331 0.331 0.276
Ag5 0.669 0.000 0.276
Ag6 0.669 0.669 0.724

- Space group: P-31m, No. 162
- N(E_F): 5.196 states/eV per cell

=====

b) First-principles (PBE) data for an optimized crystal structure of NaZn2Ag6, as listed in Alexandria.

Cell lengths 8.259, 8.259, 5.037 Å; angles 97.05, 97.05, 72.66 degrees
Fractional coordinates of all 18 atoms:
Na1 0.113 0.887 0.750
Na2 0.887 0.113 0.250
Zn1 0.213 0.467 0.898
Zn2 0.467 0.213 0.398
Zn3 0.533 0.787 0.602
Zn4 0.787 0.533 0.102
Ag1 0.011 0.731 0.192
Ag2 0.113 0.352 0.351
Ag3 0.269 0.989 0.308
Ag4 0.323 0.572 0.472
Ag5 0.352 0.113 0.851
Ag6 0.428 0.677 0.028
Ag7 0.572 0.323 0.972
Ag8 0.648 0.887 0.149
Ag9 0.677 0.428 0.528
Ag10 0.731 0.011 0.692
Ag11 0.887 0.648 0.649
Ag12 0.989 0.269 0.808

- Space group: C2/c, No. 15
- N(E_F): 3.698 states/eV per cell

=====

Top of the stability list: b), leading by 0.108 eV/atom.